# 1
The following is a DFT calculation (PBE-GGA) of crystalline PuMgAu3 at its relaxed geometry.

Calculated values
ΔE_f: -351 meV/atom
raw total energy: -55.0 eV/cell
DOS at the Fermi energy: 27.2 states/eV per cell

Structure (POSCAR):
```
PuMgAu3
1.0
8.738 -2.649 0.000
8.738 2.649 0.000
-1.459 0.000 4.867
Pu Mg Au
2 2 6
direct
0.104 0.104 0.357
0.896 0.896 0.643
0.369 0.369 0.118
0.631 0.631 0.882
0.198 0.198 0.949
0.292 0.292 0.542
0.468 0.468 0.719
0.532 0.532 0.281
0.708 0.708 0.458
0.802 0.802 0.051
```

***

# 2
The following is a DFT calculation (PBE-GGA) of crystalline La3SiTe6 at its relaxed geometry.

Calculated values
raw formation energy: -11.4 eV per formula unit
raw total energy: -100.9 eV/cell
DOS at the Fermi energy: 7.9 states/eV per cell

Structure (POSCAR):
```
La3SiTe6
1.0
6.241 -7.714 0.000
6.241 7.714 0.000
0.000 0.000 7.564
La Si Te
6 2 12
direct
0.100 0.900 0.500
0.222 0.416 0.599
0.416 0.222 0.099
0.584 0.778 0.599
0.778 0.584 0.099
0.900 0.100 0.000
0.300 0.700 0.145
0.700 0.300 0.645
0.071 0.595 0.310
0.128 0.194 0.300
0.194 0.128 0.800
0.281 0.719 0.790
0.405 0.929 0.310
0.460 0.540 0.284
0.540 0.460 0.784
0.595 0.071 0.810
0.719 0.281 0.290
0.806 0.872 0.300
0.872 0.806 0.800
0.929 0.405 0.810
```

***

# 3
The following is a DFT calculation (PBE-GGA) of crystalline SrSnBr3 at its relaxed geometry.

Calculated values
raw formation energy: -5.0 eV per formula unit
raw total energy: -15.7 eV/cell
DOS at the Fermi energy: 3.3 states/eV per cell

Structure (POSCAR):
```
SrSnBr3
1.0
5.896 0.000 0.000
0.000 5.896 0.000
0.000 0.000 5.896
Sr Sn Br
1 1 3
direct
0.000 0.000 0.000
0.500 0.500 0.500
0.000 0.000 0.500
0.000 0.500 0.000
0.500 0.000 0.000
```

***

# 4
The following is a DFT calculation (PBE-GGA) of crystalline ZrS8Br2 at its relaxed geometry.

Calculated values
raw formation energy: -2.4 eV per formula unit
raw total energy: -47.3 eV/cell
DOS at the Fermi energy: 1.3 states/eV per cell

Structure (POSCAR):
```
ZrS8Br2
1.0
6.128 0.000 0.000
2.631 5.869 0.000
1.146 2.034 9.119
Zr S Br
1 8 2
direct
0.000 0.000 0.000
0.001 0.247 0.726
0.032 0.923 0.724
0.112 0.530 0.051
0.436 0.888 0.070
0.564 0.112 0.930
0.888 0.470 0.949
0.968 0.077 0.276
0.999 0.753 0.274
0.412 0.708 0.655
0.588 0.292 0.345
```

***

# 5
The following is a DFT calculation (PBE-GGA) of crystalline EuBe13 at its relaxed geometry.

Calculated values
ΔE_f: -115 meV/atom
raw total energy: -120.6 eV/cell
DOS at the Fermi energy: 22.8 states/eV per cell

Structure (POSCAR):
```
EuBe13
1.0
0.000 5.148 5.148
5.148 0.000 5.148
5.148 5.148 0.000
Eu Be
2 26
direct
0.250 0.250 0.250
0.750 0.750 0.750
0.000 0.000 0.000
0.064 0.288 0.712
0.064 0.712 0.936
0.064 0.936 0.288
0.212 0.436 0.788
0.212 0.564 0.436
0.212 0.788 0.564
0.288 0.064 0.936
0.288 0.712 0.064
0.288 0.936 0.712
0.436 0.212 0.564
0.436 0.564 0.788
0.436 0.788 0.212
0.500 0.500 0.500
0.564 0.212 0.788
0.564 0.436 0.212
0.564 0.788 0.436
0.712 0.064 0.288
0.712 0.288 0.936
0.712 0.936 0.064
0.788 0.212 0.436
0.788 0.436 0.564
0.788 0.564 0.212
0.936 0.064 0.712
0.936 0.288 0.064
0.936 0.712 0.288
```

***

# 6
The following is a DFT calculation (PBE-GGA) of crystalline TmLu2Al at its relaxed geometry.

Calculated values
ΔE_f: -199 meV/atom
energy above the lowest structure with this stoichiometry: 0.0002 eV per atom
raw total energy: -18.1 eV/cell
DOS at the Fermi energy: 3.5 states/eV per cell

Structure (POSCAR):
```
TmLu2Al
1.0
3.450 0.000 0.000
0.000 3.450 0.000
0.000 0.000 8.801
Tm Lu Al
1 2 1
direct
0.000 0.000 0.000
0.500 0.500 0.284
0.500 0.500 0.716
0.000 0.000 0.500
```

***

# 7
The following is a DFT calculation (PBE-GGA) of crystalline Na2LiTmF6 at its relaxed geometry.

Calculated values
raw formation energy: -33.3 eV per formula unit
raw total energy: -107.2 eV/cell
DOS at the Fermi energy: 0.0 states/eV per cell

Structure (POSCAR):
```
Na2LiTmF6
1.0
5.547 0.000 0.000
0.000 5.720 0.000
-5.128 0.000 8.296
Na Li Tm F
4 2 2 12
direct
0.210 0.056 0.242
0.210 0.444 0.742
0.790 0.556 0.258
0.790 0.944 0.758
0.000 0.000 0.500
0.000 0.500 0.000
0.500 0.000 0.000
0.500 0.500 0.500
0.136 0.210 0.940
0.136 0.290 0.440
0.220 0.705 0.926
0.220 0.795 0.426
0.389 0.058 0.756
0.389 0.442 0.256
0.611 0.558 0.744
0.611 0.942 0.244
0.780 0.205 0.574
0.780 0.295 0.074
0.864 0.710 0.560
0.864 0.790 0.060
```

***

# 8
The following is a DFT calculation (PBE-GGA) of crystalline Tb4Tm8Pu at its relaxed geometry.

Calculated values
ΔE_f: 525 meV/atom
raw total energy: -61.8 eV/cell
DOS at the Fermi energy: 19.3 states/eV per cell

Structure (POSCAR):
```
Tb4Tm8Pu
1.0
5.418 3.128 4.410
-5.418 3.128 4.410
0.000 -6.256 4.410
Tb Tm Pu
4 8 1
direct
0.000 0.000 0.000
0.000 0.500 0.500
0.500 0.000 0.500
0.500 0.500 0.000
0.244 0.244 0.754
0.244 0.754 0.244
0.245 0.245 0.245
0.246 0.756 0.756
0.754 0.244 0.244
0.755 0.755 0.755
0.756 0.246 0.756
0.756 0.756 0.246
0.500 0.500 0.500
```

***

# 9
The following is a DFT calculation (PBE-GGA) of crystalline PrH6Pd2Rh at its relaxed geometry.

Calculated values
raw total energy: -92.3 eV/cell
DOS at the Fermi energy: 3.0 states/eV per cell

Structure (POSCAR):
```
PrH6Pd2Rh
1.0
4.782 0.000 0.000
0.000 8.613 0.000
0.000 0.000 4.715
Pr H Pd Rh
2 12 4 2
direct
0.000 0.000 0.000
0.500 0.500 0.500
0.140 0.354 0.230
0.140 0.354 0.770
0.179 0.087 0.500
0.321 0.587 0.000
0.360 0.854 0.270
0.360 0.854 0.730
0.640 0.146 0.270
0.640 0.146 0.730
0.679 0.413 0.000
0.821 0.913 0.500
0.860 0.646 0.230
0.860 0.646 0.770
0.060 0.747 0.500
0.440 0.247 0.000
0.560 0.753 0.000
0.940 0.253 0.500
0.000 0.500 0.000
0.500 0.000 0.500
```

***

# 10
The following is a DFT calculation (PBE-GGA) of crystalline YCo3Ir at its relaxed geometry.

Calculated values
ΔE_f: 1955 meV/atom
energy above the lowest structure with this stoichiometry: 1.3620 eV per atom
raw total energy: -26.9 eV/cell
DOS at the Fermi energy: 5.6 states/eV per cell

Structure (POSCAR):
```
YCo3Ir
1.0
4.476 0.000 0.000
0.000 4.476 0.000
0.000 0.000 4.476
Y Co Ir
1 3 1
direct
0.000 0.000 0.000
0.000 0.000 0.500
0.000 0.500 0.000
0.500 0.000 0.000
0.500 0.500 0.500
```

***

# 11
The following is a DFT calculation (PBE-GGA) of crystalline Al2TlOs at its relaxed geometry.

Calculated values
ΔE_f: 433 meV/atom
energy above the lowest structure with this stoichiometry: 0.5176 eV per atom
raw total energy: -19.3 eV/cell
DOS at the Fermi energy: 1.6 states/eV per cell

Structure (POSCAR):
```
Al2TlOs
1.0
4.157 0.000 0.000
0.000 4.157 0.000
0.000 0.000 3.868
Al Tl Os
2 1 1
direct
0.000 0.500 0.000
0.500 0.000 0.000
0.000 0.000 0.500
0.500 0.500 0.500
```

***

# 12
The following is a DFT calculation (PBE-GGA) of crystalline YSn2PbAu at its relaxed geometry.

Calculated values
ΔE_f: 526 meV/atom
raw total energy: -18.8 eV/cell
DOS at the Fermi energy: 4.9 states/eV per cell

Structure (POSCAR):
```
YSn2PbAu
1.0
5.710 0.000 0.000
0.000 5.710 0.000
0.000 0.000 5.222
Y Sn Pb Au
1 2 1 1
direct
0.000 0.000 0.000
0.000 0.500 0.500
0.500 0.000 0.500
0.500 0.500 0.500
0.500 0.500 0.000
```